1.
TaReMo: optimized geometry, PBE-GGA.

Properties
ΔE_f   -0.20 eV/atom

POSCAR file:
```
TaReMo
1.0
-1.592 1.592 4.810
1.592 -1.592 4.810
1.592 1.592 -4.810
Ta Re Mo
1 1 1
Direct
0.000 0.000 0.000
0.668 0.668 0.000
0.330 0.330 0.000
```


2.
Li2CuSb2Pd: optimized geometry, PBE-GGA.

Properties
Formation energy from raw total energies   -0.423 eV/atom

POSCAR file:
```
Li2CuSb2Pd
1.0
-2.962 6.386 2.965
2.962 -6.386 2.965
2.962 6.386 -2.965
Li Cu Sb Pd
4 2 4 2
Direct
0.143 0.250 0.393
0.357 0.750 0.108
0.643 0.250 0.892
0.857 0.750 0.607
0.250 0.250 0.000
0.750 0.750 0.000
0.134 0.755 0.889
0.366 0.255 0.622
0.634 0.745 0.378
0.866 0.245 0.111
0.250 0.750 0.500
0.750 0.250 0.500
```